RbBe2H2: relaxed, GGA-PBE.

a b c (Å): 4.0741 4.9368 10.2941
angles (deg): 86.69 79.15 70.81
With the nearest neighbours (Å) after each atom.
Space group P-1 (No. 2)
Inequivalent atoms, fractional coordinates:
Rb1 0.1414 0.2470 0.2058 [2 per cell]  4 H 2.89-3.16
Be1 0.2253 0.3143 0.5132 [2 per cell]  2 H 1.47-1.50
Be2 0.2377 0.8137 0.4868 [2 per cell]  2 H 1.48-1.50
H1 0.4421 0.2513 0.6210 [2 per cell]  2 Be 1.50
H2 0.4563 0.7510 0.5909 [2 per cell]  2 Be 1.47-1.48

Summary:
DOS(E_F) in states/eV/cell: 1.98
Energy relative to the lowest polymorph listed for this composition in meV/atom: 50